(1)
FePtW2 (GGA-PBE, relaxed); crystal system = trigonal; E = -39.823 eV for the cell shown; offset from the most stable computed form = 209 meV per atom; SG = R-3m, No. 166
1.0
-5.9894 4.7787 4.8938
-7.2704 4.8778 2.4508
-7.6407 2.7080 4.1163
Fe Pt W
1 1 2
Direct
0.2500 0.2500 0.2500
0.7500 0.7500 0.7500
0.9953 0.9953 0.9953
0.5047 0.5047 0.5047

=====

(2)
YFe2PtW (GGA-PBE, relaxed); crystal system = tetragonal; E = -36.498 eV for the cell shown; SG = P4/mmm, No. 123
1.0
4.4202 0.0000 0.0000
0.0000 5.4336 0.0000
0.0000 0.0000 4.4202
Y W Pt Fe
1 1 1 2
Direct
0.0000 0.5000 0.0000
0.0000 0.0000 0.0000
0.5000 0.5000 0.5000
0.0000 0.0000 0.5000
0.5000 0.0000 0.0000

=====

Q: The highest E belongs to which entry?
A: YFe2PtW